Entry 1:
ReIrS3 (meta-GGA SCAN, PBEsol geometry); E_form (uncorrected) = 1.4220 eV/atom; space-group type = Pm-3m, No. 221; Fermi-level density of states = 4.6 states/eV/f.u.
1.0
-2.243 3.723 -1.335
-1.691 -2.290 -3.546
-3.576 -1.252 2.514
Re S Ir
1 3 1
Direct
0.500 0.500 0.500 Re
0.000 0.500 0.000 S
0.000 0.000 0.500 S
0.500 0.000 0.000 S
0.000 0.000 0.000 Ir

=====

Entry 2:
TaRuRh2 (meta-GGA SCAN, PBEsol geometry); space-group type = P4/mmm, No. 123; Fermi-level density of states = 3.1 states/eV/f.u.; formation enthalpy at 0 K = -0.2044 eV per atom
1.0
-1.964 1.395 1.274
-0.307 -2.049 1.770
5.285 3.209 4.632
Rh Ru Ta
2 1 1
Direct
0.000 0.000 0.759 Rh
0.000 0.000 0.241 Rh
0.500 0.500 0.000 Ru
0.500 0.500 0.500 Ta

=====

Entry 3:
Ce3Ni2Ge7 (meta-GGA SCAN, PBEsol geometry); space-group type = Cmmm, No. 65; Fermi-level density of states = 9.1 states/eV/f.u.; formation enthalpy at 0 K = -0.7280 eV per atom
1.0
-2.174 -3.275 -1.418
3.287 -2.514 0.767
-3.219 -0.485 12.212
Ce Ni Ge
3 2 7
Direct
0.684 0.500 0.367 Ce
0.316 0.500 0.633 Ce
0.000 0.000 0.000 Ce
0.872 0.000 0.744 Ni
0.128 0.000 0.256 Ni
0.587 0.000 0.174 Ge
0.413 0.000 0.826 Ge
0.779 0.000 0.557 Ge
0.221 0.000 0.443 Ge
0.913 0.500 0.825 Ge
0.087 0.500 0.175 Ge
0.500 0.500 0.000 Ge

=====

Entry 4:
SiNF2 (meta-GGA SCAN, PBEsol geometry); E_form (uncorrected) = -0.1871 eV/atom; space-group type = R-3m, No. 166; Fermi-level density of states = 0.9 states/eV/f.u.
1.0
-0.702 -2.137 -1.239
-1.062 -1.946 1.297
-8.500 2.036 -1.361
Si N F
1 1 2
Direct
0.000 0.000 0.000 Si
0.500 0.500 0.500 N
0.938 0.938 0.186 F
0.062 0.062 0.814 F

=====

Entry 5:
Mo2P3O13 (meta-GGA SCAN, PBEsol geometry); E_form (uncorrected) = -2.2623 eV/atom; space-group type = P2_1/c, No. 14; Fermi-level density of states = 3.5 states/eV/f.u.
1.0
-3.119 -4.398 3.361
-3.075 -0.893 -6.361
15.457 -15.058 -5.357
Mo P O
8 12 52
Direct
0.284 0.548 0.709 Mo
0.271 0.723 0.440 Mo
0.229 0.777 0.940 Mo
0.216 0.952 0.209 Mo
0.784 0.048 0.791 Mo
0.771 0.223 0.060 Mo
0.729 0.277 0.560 Mo
0.716 0.452 0.291 Mo
0.774 0.790 0.400 P
0.885 0.358 0.915 P
0.726 0.710 0.900 P
0.115 0.642 0.085 P
0.226 0.210 0.600 P
0.274 0.290 0.100 P
0.274 0.922 0.798 P
0.226 0.578 0.298 P
0.615 0.142 0.415 P
0.774 0.422 0.702 P
0.726 0.078 0.202 P
0.385 0.858 0.585 P
0.416 0.287 0.559 O
0.483 0.062 0.810 O
0.482 0.283 0.066 O
0.368 0.691 0.627 O
0.397 0.020 0.423 O
0.271 0.508 0.114 O
0.306 0.807 0.741 O
0.280 0.717 0.351 O
0.517 0.938 0.190 O
0.518 0.717 0.934 O
0.632 0.309 0.373 O
0.603 0.980 0.577 O
0.729 0.492 0.886 O
0.584 0.713 0.441 O
0.694 0.193 0.259 O
0.720 0.283 0.649 O
0.720 0.206 0.476 O
0.594 0.537 0.711 O
0.705 0.989 0.052 O
0.780 0.294 0.976 O
0.780 0.217 0.149 O
0.806 0.307 0.759 O
0.771 0.008 0.386 O
0.739 0.944 0.724 O
0.738 0.808 0.839 O
0.762 0.692 0.339 O
0.761 0.556 0.224 O
0.868 0.191 0.873 O
0.795 0.511 0.552 O
0.906 0.963 0.211 O
0.017 0.438 0.310 O
0.916 0.787 0.941 O
0.018 0.217 0.566 O
0.897 0.520 0.077 O
0.103 0.480 0.923 O
0.982 0.783 0.434 O
0.084 0.213 0.059 O
0.983 0.562 0.690 O
0.094 0.037 0.789 O
0.205 0.489 0.448 O
0.132 0.809 0.127 O
0.239 0.444 0.776 O
0.238 0.308 0.661 O
0.262 0.192 0.161 O
0.261 0.056 0.276 O
0.229 0.992 0.614 O
0.280 0.794 0.524 O
0.220 0.783 0.851 O
0.220 0.706 0.024 O
0.295 0.011 0.948 O
0.406 0.463 0.289 O
0.194 0.693 0.241 O

=====

Entry 6:
ScTa2Mo (meta-GGA SCAN, PBEsol geometry); space-group type = P2/m, No. 10; Fermi-level density of states = 4.5 states/eV/f.u.; formation enthalpy at 0 K = 0.0844 eV per atom
1.0
2.857 0.000 0.001
0.000 4.595 0.000
-1.059 0.000 5.386
Mo Sc Ta
1 1 2
Direct
0.500 0.500 0.000 Mo
0.000 0.500 0.500 Sc
0.704 0.000 0.765 Ta
0.296 0.000 0.235 Ta

=====

Entry 7:
IrPb2W (meta-GGA SCAN, PBEsol geometry); space-group type = P4/mmm, No. 123; Fermi-level density of states = 3.0 states/eV/f.u.; formation enthalpy at 0 K = 1.0412 eV per atom
1.0
3.364 0.000 0.000
0.000 4.718 0.000
0.000 0.000 4.718
Ir Pb W
1 2 1
Direct
0.500 0.000 0.000 Ir
0.000 0.000 0.500 Pb
0.000 0.500 0.000 Pb
0.500 0.500 0.500 W

=====

Entry 8:
NaPt2 (meta-GGA SCAN, PBEsol geometry); space-group type = P6_3/mmc, No. 194; Fermi-level density of states = 2.4 states/eV/f.u.; formation enthalpy at 0 K = -0.4000 eV per atom
1.0
-4.252 -1.684 -2.660
3.881 -3.388 1.203
-3.913 -1.847 7.424
Na Pt
4 8
Direct
0.667 0.333 0.933 Na
0.667 0.333 0.567 Na
0.333 0.667 0.433 Na
0.333 0.667 0.067 Na
0.000 0.000 0.000 Pt
0.000 0.000 0.500 Pt
0.830 0.170 0.250 Pt
0.830 0.661 0.250 Pt
0.661 0.830 0.750 Pt
0.339 0.170 0.250 Pt
0.170 0.339 0.750 Pt
0.170 0.830 0.750 Pt

=====

Entry 9:
Ta2CoBr (meta-GGA SCAN, PBEsol geometry); E_form (uncorrected) = 0.3608 eV/atom; space-group type = P4mm, No. 99; Fermi-level density of states = 2.9 states/eV/f.u.
1.0
-0.349 3.117 0.075
-3.116 -0.351 0.086
0.199 -0.137 6.661
Co Br Ta
1 1 2
Direct
0.500 0.500 0.794 Co
0.000 0.000 0.496 Br
0.000 0.000 0.963 Ta
0.500 0.500 0.246 Ta

=====

Entry 10:
Cr2NiRh (meta-GGA SCAN, PBEsol geometry); space-group type = P4/mmm, No. 123; Fermi-level density of states = 3.0 states/eV/f.u.; formation enthalpy at 0 K = -0.0017 eV per atom
1.0
-1.496 2.201 2.325
-1.644 -2.730 1.527
2.870 -0.455 2.278
Ni Rh Cr
1 1 2
Direct
0.500 0.500 0.500 Ni
0.000 0.000 0.500 Rh
0.000 0.500 0.000 Cr
0.500 0.000 0.000 Cr

=====

Calculated total energy (computed, eV for the cell shown): -164.0 -169.8 -308.4 -27.1 -890.8 -182.0 -288.2 -583.2 -168.5 -86.7